DFT (PBE) results for crystalline RbHfSb2 at its relaxed geometry.

The calculation puts the distance to the lowest polymorph of the same formula at 257 meV/atom.

The structure belongs to space group I-42d (No. 122); the cell edges are 6.829, 6.829 and 16.971 Å and the angles 90.00°, 90.00° and 90.00°. The distinct sites, in fractional coordinates, are Rb at (0.000, 0.000, 0.000), Hf at (0.000, 0.000, 0.500) and Sb at (0.004, 0.750, 0.625).

DFT (PBE) results for crystalline Cu2SiAu at its relaxed geometry.

The calculation puts the uncorrected energy at -50.190 eV for the cell shown.

The structure belongs to space group R-3m (No. 166, hexagonal axes); the cell edges are 2.8290, 2.8290 and 24.6089 Å and the angles 90.00°, 90.00° and 120.00°. The distinct sites, in fractional coordinates, are Cu at (0.0000, 0.0000, 0.2423), Si at (0.0000, 0.0000, 0.5000) and Au at (0.0000, 0.0000, 0.0000).

DFT (PBE) results for crystalline Mg2Al3Ga3 at its relaxed geometry.

As for the formation energy: -0.037 eV per atom.

The structure belongs to space group Pmmm (No. 47); the cell edges are 3.961, 4.223 and 8.682 Å and the angles 90.00°, 90.00° and 90.00°. The distinct sites, in fractional coordinates, are Mg at (0.000, 0.000, 0.247), Al at (0.000, 0.500, 0.000), Al at (0.000, 0.500, 0.500), Al at (0.500, 0.000, 0.500), Ga at (0.500, 0.000, 0.000) and Ga at (0.500, 0.500, 0.259).

DFT (PBE) results for crystalline RbInSi at its relaxed geometry.

The calculation puts the uncorrected energy at -16.887 eV for the cell shown.

The structure belongs to space group P-6m2 (No. 187); the cell edges are 5.0964, 5.0964 and 7.7789 Å and the angles 90.00°, 90.00° and 120.00°. The distinct sites, in fractional coordinates, are Rb at (0.0000, 0.0000, 0.0000), Rb at (0.0000, 0.0000, 0.5000), In at (0.6667, 0.3333, 0.2179) and Si at (0.3333, 0.6667, 0.3290).

DFT (PBE) results for crystalline YAs5 at its relaxed geometry.

As for the formation energy: -0.333 eV per atom.

The structure belongs to space group Cm (No. 8); the cell edges are 10.952, 4.101 and 6.346 Å and the angles 90.00°, 91.32° and 90.00°. The distinct sites, in fractional coordinates, are Y at (0.000, 0.000, 0.000), As at (0.049, 0.500, 0.670), As at (0.099, 0.500, 0.297), As at (0.288, 0.000, 0.984), As at (0.319, 0.500, 0.338) and As at (0.333, 0.000, 0.600).

DFT (PBE) results for crystalline CePmZnIn at its relaxed geometry.

As for the formation energy: -0.299 eV per atom.

The structure belongs to space group F-43m (No. 216); the cell edges are 7.540, 7.540 and 7.540 Å and the angles 90.00°, 90.00° and 90.00°. The distinct sites, in fractional coordinates, are Ce at (0.000, 0.000, 0.000), Pm at (0.000, 0.000, 0.500), Zn at (0.250, 0.250, 0.250) and In at (0.250, 0.250, 0.750).

DFT (PBE) results for crystalline TbErZnCu at its relaxed geometry.

As for the formation energy: -0.292 eV per atom. The calculation puts the distance to the lowest polymorph of the same formula at 7 meV/atom.

The structure belongs to space group F-43m (No. 216); the cell edges are 7.020, 7.020 and 7.020 Å and the angles 90.00°, 90.00° and 90.00°. The distinct sites, in fractional coordinates, are Tb at (0.000, 0.000, 0.000), Er at (0.000, 0.000, 0.500), Zn at (0.250, 0.250, 0.750) and Cu at (0.250, 0.250, 0.250).

DFT (PBE) results for crystalline InMoOs2 at its relaxed geometry.

As for the formation energy: 0.480 eV per atom.

The structure belongs to space group Cmmm (No. 65); the cell edges are 5.837, 7.599 and 2.899 Å and the angles 90.00°, 90.00° and 90.00°. The distinct sites, in fractional coordinates, are In at (0.000, 0.000, 0.000), Mo at (0.000, 0.500, 0.000) and Os at (0.250, 0.250, 0.500).

Number 7 is which compound? TbErZnCu